[1]
# AlAu2Br GGA-PBE relaxed
# E above lowest polymorph (kcal/mol of atoms): 13.285
# Formation energy (no corrections) (eV/atom): 0.322
# Calculated density (g/cm³): 9.97
data_AlAu2Br
_symmetry_space_group_name_H-M 'F -4 3 m'
_symmetry_Int_Tables_number 216
_symmetry_space_group_name_Hall 'F -4 2 3'
_cell_length_a 6.935
_cell_length_b 6.935
_cell_length_c 6.935
_cell_angle_alpha 90.00
_cell_angle_beta 90.00
_cell_angle_gamma 90.00
loop_
_atom_site_label
_atom_site_type_symbol
_atom_site_fract_x
_atom_site_fract_y
_atom_site_fract_z
Al1 Al 0.000 0.000 0.000
Au1 Au 0.000 0.000 0.500
Au2 Au 0.250 0.250 0.750
Br1 Br 0.250 0.250 0.250

---

[2]
# AlAu2Br GGA-PBE relaxed
# E above lowest polymorph (kcal/mol of atoms): 0.000
# Formation energy (no corrections) (eV/atom): -0.254
# Calculated density (g/cm³): 8.06
data_AlAu2Br
_symmetry_space_group_name_H-M 'C 1 m 1'
_symmetry_Int_Tables_number 8
_cell_length_a 9.086
_cell_length_b 3.457
_cell_length_c 6.577
_cell_angle_alpha 90.00
_cell_angle_beta 93.17
_cell_angle_gamma 90.00
loop_
_symmetry_equiv_pos_as_xyz
'x,y,z'
'x,-y,z'
'x+1/2,y+1/2,z'
'x+1/2,-y+1/2,z'
loop_
_atom_site_label
_atom_site_type_symbol
_atom_site_fract_x
_atom_site_fract_y
_atom_site_fract_z
Al1 Al 0.000 0.000 0.000
Au1 Au 0.073 0.500 0.729
Au2 Au 0.291 0.000 0.891
Br1 Br 0.050 0.500 0.300

---

[3]
# AlAuCBr2 GGA-PBE relaxed
# Formation energy (no corrections) (eV/atom): 1.477
# Calculated density (g/cm³): 4.43
data_AlAuCBr2
_symmetry_space_group_name_H-M 'P 4/m m m'
_symmetry_Int_Tables_number 123
_symmetry_space_group_name_Hall '-P 4 2'
_cell_length_a 5.457
_cell_length_b 5.457
_cell_length_c 4.978
_cell_angle_alpha 90.00
_cell_angle_beta 90.00
_cell_angle_gamma 90.00
loop_
_atom_site_label
_atom_site_type_symbol
_atom_site_fract_x
_atom_site_fract_y
_atom_site_fract_z
Al1 Al 0.000 0.000 0.000
Au1 Au 0.000 0.000 0.500
C1 C 0.500 0.500 0.000
Br1 Br 0.000 0.500 0.500

---

[4]
# AlAuBrCl2 GGA-PBE relaxed
# Formation energy (no corrections) (eV/atom): 0.550
# Calculated density (g/cm³): 4.19
data_AlAuBrCl2
_symmetry_space_group_name_H-M 'P 4/m m m'
_symmetry_Int_Tables_number 123
_symmetry_space_group_name_Hall '-P 4 2'
_cell_length_a 5.131
_cell_length_b 5.131
_cell_length_c 5.642
_cell_angle_alpha 90.00
_cell_angle_beta 90.00
_cell_angle_gamma 90.00
loop_
_atom_site_label
_atom_site_type_symbol
_atom_site_fract_x
_atom_site_fract_y
_atom_site_fract_z
Al1 Al 0.000 0.000 0.000
Au1 Au 0.500 0.500 0.000
Br1 Br 0.000 0.000 0.500
Cl1 Cl 0.000 0.500 0.500

---

[5]
# CsAlAu2Br GGA-PBE relaxed
# Formation energy (no corrections) (eV/atom): 0.725
# Calculated density (g/cm³): 4.28
data_CsAlAu2Br
_symmetry_space_group_name_H-M 'P 4/m m m'
_symmetry_Int_Tables_number 123
_symmetry_space_group_name_Hall '-P 4 2'
_cell_length_a 6.081
_cell_length_b 6.081
_cell_length_c 6.654
_cell_angle_alpha 90.00
_cell_angle_beta 90.00
_cell_angle_gamma 90.00
loop_
_atom_site_label
_atom_site_type_symbol
_atom_site_fract_x
_atom_site_fract_y
_atom_site_fract_z
Cs1 Cs 0.000 0.000 0.000
Al1 Al 0.500 0.500 0.500
Au1 Au 0.000 0.500 0.000
Br1 Br 0.000 0.000 0.500

---

[6]
# KAlAu2Br GGA-PBE relaxed
# Formation energy (no corrections) (eV/atom): 0.442
# Calculated density (g/cm³): 5.60
data_KAlAu2Br
_symmetry_space_group_name_H-M 'P 4/m m m'
_symmetry_Int_Tables_number 123
_symmetry_space_group_name_Hall '-P 4 2'
_cell_length_a 5.368
_cell_length_b 5.368
_cell_length_c 5.551
_cell_angle_alpha 90.00
_cell_angle_beta 90.00
_cell_angle_gamma 90.00
loop_
_atom_site_label
_atom_site_type_symbol
_atom_site_fract_x
_atom_site_fract_y
_atom_site_fract_z
K1 K 0.000 0.000 0.000
Al1 Al 0.500 0.500 0.000
Au1 Au 0.000 0.500 0.500
Br1 Br 0.500 0.500 0.500